## 1
An optimized crystal structure of La3MgRu. Source: the Alexandria database, functional PBE-GGA.

Calculated values
Calculated density, g/cm³: 5.28
SG: No. 221

a b c (Å): 5.5448 5.5448 5.5448
angles (deg): 90.00 90.00 90.00
With the nearest neighbours (Å) after each atom.
Fractional positions:
La: 0.0000 0.0000 0.5000  2 Ru 2.77
La: 0.0000 0.5000 0.0000  2 Ru 2.77
La: 0.5000 0.0000 0.0000  2 Ru 2.77
Mg: 0.5000 0.5000 0.5000  12 La 3.92
Ru: 0.0000 0.0000 0.0000  6 La 2.77

***

## 2
An optimized crystal structure of La3MgRu. Source: the Alexandria database, functional PBE-GGA.

Calculated values
Calculated density, g/cm³: 5.88
SG: No. 14

a b c (Å): 9.2648 7.1513 10.8448
angles (deg): 90.00 121.61 90.00
With the nearest neighbours (Å) after each atom.
Fractional positions:
La: 0.0868 0.0816 0.3088  3 Ru 2.97-3.16
La: 0.0868 0.4184 0.8088  3 Ru 2.97-3.16
La: 0.2431 0.5155 0.5787  2 Ru 2.86-2.87
La: 0.2431 0.9845 0.0787  2 Ru 2.86-2.87
La: 0.3031 0.0138 0.6950  1 Ru 2.66
La: 0.3031 0.4862 0.1950  1 Ru 2.66
La: 0.6969 0.5138 0.8050  1 Ru 2.66
La: 0.6969 0.9862 0.3050  1 Ru 2.66
La: 0.7569 0.0155 0.9213  2 Ru 2.86-2.87
La: 0.7569 0.4845 0.4213  2 Ru 2.86-2.87
La: 0.9132 0.5816 0.1912  3 Ru 2.97-3.16
La: 0.9132 0.9184 0.6912  3 Ru 2.97-3.16
Mg: 0.4736 0.7080 0.9790  1 Mg 3.01
Mg: 0.4736 0.7920 0.4790  1 Mg 3.01
Mg: 0.5264 0.2080 0.5210  1 Mg 3.01
Mg: 0.5264 0.2920 0.0210  1 Mg 3.01
Ru: 0.0203 0.2093 0.5346  4 La 2.66-2.97
Ru: 0.0203 0.2907 0.0346  4 La 2.66-2.97
Ru: 0.9797 0.7093 0.9654  4 La 2.66-2.97
Ru: 0.9797 0.7907 0.4654  4 La 2.66-2.97

***

Energies, relative to the best one, in eV/atom: 1 0.019; 2 0.000.